No. 1
## KZrTa3 (GGA-PBE)

Data for an optimized crystal structure of KZrTa3.

Geometry as POSCAR:
```
KZrTa3
1.0
5.1137 0.0000 0.0000
0.0000 5.1137 0.0000
0.0000 0.0000 5.1137
K Zr Ta
1 1 3
Direct
0.0000 0.0000 0.0000 K
0.5000 0.5000 0.5000 Zr
0.0000 0.5000 0.5000 Ta
0.5000 0.0000 0.5000 Ta
0.5000 0.5000 0.0000 Ta
```

Summary:
Calculated volume in Å³ per cell: 134
E_form in eV per atom: 2.00
Size of the total moment in μB per atom: 0.0000
DOS at the Fermi energy in states/eV/cell: 13.5
Energy above the lowest structure with this stoichiometry in meV per atom: 0

***

No. 2
## La6CoRhAu2 (GGA-PBE)

Data for an optimized crystal structure of La6CoRhAu2.

Geometry as POSCAR:
```
La6CoRhAu2
1.0
7.1027 0.0000 0.0000
0.0000 7.8132 0.0000
-6.9367 0.0000 10.7855
La Co Rh Au
12 2 2 4
Direct
0.1108 0.1899 0.4340 La
0.1108 0.3101 0.9340 La
0.2504 0.6780 0.4360 La
0.2504 0.8220 0.9360 La
0.3813 0.0291 0.2469 La
0.3813 0.4709 0.7469 La
0.6187 0.5291 0.2531 La
0.6187 0.9709 0.7531 La
0.7496 0.1780 0.0640 La
0.7496 0.3220 0.5640 La
0.8892 0.6899 0.0660 La
0.8892 0.8101 0.5660 La
0.0000 0.0000 0.0000 Co
0.0000 0.5000 0.5000 Co
0.5000 0.0000 0.5000 Rh
0.5000 0.5000 0.0000 Rh
0.1955 0.1069 0.7452 Au
0.1955 0.3931 0.2452 Au
0.8045 0.6069 0.7548 Au
0.8045 0.8931 0.2548 Au
```

Summary:
Calculated volume in Å³ per cell: 599
E_form in eV per atom: -0.53
Size of the total moment in μB per atom: 0.0000
DOS at the Fermi energy in states/eV/cell: 18.3

***

No. 3
## Ba2AsBr (GGA-PBE)

Data for an optimized crystal structure of Ba2AsBr.

Geometry as POSCAR:
```
Ba2AsBr
1.0
8.0574 0.0000 0.0000
0.0000 8.0574 0.0000
0.0000 0.0000 8.0574
Ba As Br
8 4 4
Direct
0.0000 0.0000 0.0000 Ba
0.0000 0.5000 0.5000 Ba
0.2500 0.2500 0.2500 Ba
0.2500 0.7500 0.7500 Ba
0.5000 0.0000 0.5000 Ba
0.5000 0.5000 0.0000 Ba
0.7500 0.2500 0.7500 Ba
0.7500 0.7500 0.2500 Ba
0.0000 0.0000 0.5000 As
0.0000 0.5000 0.0000 As
0.5000 0.0000 0.0000 As
0.5000 0.5000 0.5000 As
0.2500 0.2500 0.7500 Br
0.2500 0.7500 0.2500 Br
0.7500 0.2500 0.2500 Br
0.7500 0.7500 0.7500 Br
```

Summary:
Calculated volume in Å³ per cell: 523
Size of the total moment in μB per atom: 0.0000
Formation energy from raw total energies in eV/atom: -0.7326
DOS at the Fermi energy in states/eV/cell: 0.3

***

No. 4
## CdRu (GGA-PBE)

Data for an optimized crystal structure of CdRu.

Geometry as POSCAR:
```
CdRu
1.0
7.4831 0.0000 0.0000
0.0000 7.4831 0.0000
0.0000 0.0000 7.4831
Cd Ru
6 6
Direct
0.0000 0.2500 0.5000 Cd
0.0000 0.7500 0.5000 Cd
0.2500 0.5000 0.0000 Cd
0.5000 0.0000 0.2500 Cd
0.5000 0.0000 0.7500 Cd
0.7500 0.5000 0.0000 Cd
0.0000 0.5000 0.2500 Ru
0.0000 0.5000 0.7500 Ru
0.2500 0.0000 0.5000 Ru
0.5000 0.2500 0.0000 Ru
0.5000 0.7500 0.0000 Ru
0.7500 0.0000 0.5000 Ru
```

Summary:
Calculated volume in Å³ per cell: 419
E_form in eV per atom: 1.94
Size of the total moment in μB per atom: 0.9799
DOS at the Fermi energy in states/eV/cell: 16.2